A relaxed Li2FeAg2 crystal, computed with GGA-PBEsol.

Formation energy = 471.7 meV per atom
Symmetry = I4/mmm, No. 139

```
Li2FeAg2
1.0
-0.731 1.789 -4.074
-1.869 -4.362 0.915
-1.964 3.575 1.922
Ag Li Fe
2 2 1
Direct
0.750 0.500 0.250
0.250 0.500 0.750
0.363 0.726 0.363
0.637 0.274 0.637
0.000 0.000 0.000
```

---

A relaxed LiFeAg2 crystal, computed with GGA-PBEsol.

Formation energy = 235.2 meV per atom
Symmetry = P4mm, No. 99

```
LiFeAg2
1.0
-0.788 1.536 2.084
-1.384 -2.091 1.018
6.563 -2.306 4.182
Fe Ag Li
1 2 1
Direct
0.000 0.000 0.503
0.000 0.000 0.991
0.500 0.500 0.262
0.500 0.500 0.744
```

---

A relaxed LiFe2Ag crystal, computed with GGA-PBEsol.

Formation energy = 277.0 meV per atom
Symmetry = Pmmm, No. 47

```
LiFe2Ag
1.0
-0.426 2.752 -0.221
-3.800 -0.680 -1.137
-1.316 0.142 4.312
Fe Li Ag
2 1 1
Direct
0.000 0.000 0.000
0.500 0.500 0.000
0.500 0.000 0.500
0.000 0.500 0.500
```

---

A relaxed Li2FeAg crystal, computed with GGA-PBEsol.

Formation energy = 235.0 meV per atom
Symmetry = C2/m, No. 12

```
Li2FeAg
1.0
-1.237 -0.654 -2.180
0.434 -4.574 1.573
-3.553 2.973 2.439
Fe Ag Li
1 1 2
Direct
0.500 0.000 0.000
0.000 0.500 0.000
0.500 0.500 0.500
0.000 0.000 0.500
```

---

A relaxed LiFe2Ag crystal, computed with GGA-PBEsol.

Formation energy = 384.7 meV per atom
Symmetry = Pmmm, No. 47

```
LiFe2Ag
1.0
2.544 0.000 0.000
0.000 4.186 0.000
0.000 0.000 4.908
Ag Fe Li
1 2 1
Direct
0.500 0.500 0.500
0.000 0.000 0.242
0.000 0.000 0.758
0.500 0.500 0.000
```

---

A relaxed Li2FeAg crystal, computed with GGA-PBEsol.

Formation energy = 228.0 meV per atom
Symmetry = Cmm2, No. 35

```
Li2FeAg
1.0
-1.271 1.084 2.034
0.505 -2.529 0.526
8.004 2.374 3.739
Fe Ag Li
1 1 2
Direct
0.500 0.500 0.251
0.000 0.000 0.493
0.500 0.500 0.735
0.000 0.000 0.020
```